# CsMnP4O12 PBE with a Hubbard U relaxed
data_CsMnP4O12
_symmetry_space_group_name_H-M 'P 1 21 1'
_symmetry_Int_Tables_number 4
_cell_length_a 5.326
_cell_length_b 13.862
_cell_length_c 7.594
_cell_angle_alpha 90.00
_cell_angle_beta 102.34
_cell_angle_gamma 90.00
loop_
_symmetry_equiv_pos_as_xyz
'x,y,z'
'-x,y+1/2,-z'
loop_
_atom_site_label
_atom_site_type_symbol
_atom_site_fract_x
_atom_site_fract_y
_atom_site_fract_z
_atom_site_occupancy
Cs1 Cs 0.111 0.000 0.333 1
Mn1 Mn 0.004 0.734 0.011 1
P1 P 0.287 0.317 0.364 1
P2 P 0.363 0.677 0.400 1
P3 P 0.496 0.094 0.927 1
P4 P 0.496 0.374 0.058 1
O1 O 0.131 0.720 0.270 1
O2 O 0.137 0.236 0.247 1
O3 O 0.153 0.403 0.410 1
O4 O 0.242 0.103 0.977 1
O5 O 0.254 0.864 0.998 1
O6 O 0.267 0.320 0.945 1
O7 O 0.282 0.653 0.966 1
O8 O 0.328 0.621 0.558 1
O9 O 0.401 0.485 0.047 1
O10 O 0.444 0.268 0.546 1
O11 O 0.470 0.113 0.715 1
O12 O 0.475 0.847 0.733 1
# magnetization	3.9	μB/f.u.
# energy	-254.93	eV for the cell shown